(1)
A geometry-optimized BaCa2Tl6 structure. Source: the Alexandria database, functional GGA-PBE.

POSCAR file:
```
BaCa2Tl6
1.0
-1.515 3.921 -1.471
-2.193 -1.579 -8.691
-8.550 -1.745 -2.587
Ba Ca Tl
1 2 6
direct
0.500 0.500 0.500
0.371 0.129 0.129
0.629 0.871 0.871
0.186 0.499 0.129
0.814 0.501 0.871
0.814 0.871 0.501
0.000 0.177 0.823
0.000 0.823 0.177
0.186 0.129 0.499
```

electronic total energy	-2.493	eV per atom
magnetic moment	0.0	μB/f.u.
formation energy from the elements	-24.8	kJ/mol of atoms

(2)
A geometry-optimized BaCa2Tl6 structure. Source: the Alexandria database, functional GGA-PBE.

POSCAR file:
```
BaCa2Tl6
1.0
-1.521 -0.546 -3.395
8.556 -0.399 -3.770
-4.116 -7.812 3.100
Ba Ca Tl
1 2 6
direct
0.000 0.000 0.000
0.000 0.333 0.667
0.000 0.667 0.333
0.500 0.338 0.338
0.500 0.662 0.662
0.500 0.000 0.662
0.500 0.662 0.000
0.500 0.338 0.000
0.500 0.000 0.338
```

electronic total energy	-2.492	eV per atom
magnetic moment	0.0	μB/f.u.
formation energy from the elements	-24.7	kJ/mol of atoms

(3)
A geometry-optimized BaCaTl structure. Source: the Alexandria database, functional GGA-PBE.

POSCAR file:
```
BaCaTl
1.0
5.716 0.000 0.000
2.858 4.950 0.000
2.858 1.650 4.667
Tl Ca Ba
1 1 1
direct
0.750 0.750 0.750
0.500 0.500 0.500
0.000 0.000 0.000
```

electronic total energy	-2.296	eV per atom
magnetic moment	0.0	μB/f.u.
formation energy from the elements	-19.2	kJ/mol of atoms

(4)
A geometry-optimized Ba4CaTl2 structure. Source: the Alexandria database, functional GGA-PBE.

POSCAR file:
```
Ba4CaTl2
1.0
7.521 -0.376 -2.288
-0.234 11.137 -1.178
-5.655 -7.012 10.444
Ba Ca Tl
8 2 4
direct
0.156 0.280 0.475
0.375 0.558 0.178
0.761 0.559 0.578
0.514 0.062 0.576
0.399 0.003 0.204
0.128 0.041 0.762
0.590 0.779 0.952
0.728 0.510 0.053
0.210 0.673 0.501
0.907 0.170 0.044
0.846 0.536 0.849
0.890 0.922 0.390
0.669 0.297 0.205
0.078 0.359 0.733
```

energy relative to the lowest polymorph listed for this composition	37	meV per atom
electronic total energy	-2.238	eV per atom
magnetic moment	0.0	μB/f.u.
formation energy from the elements	-17.1	kJ/mol of atoms

(5)
A geometry-optimized BaCaTl4 structure. Source: the Alexandria database, functional GGA-PBE.

POSCAR file:
```
BaCaTl4
1.0
-1.445 -3.774 -0.166
1.473 -0.727 3.696
-10.344 3.793 4.825
Ba Ca Tl
1 1 4
direct
0.500 0.500 0.500
0.000 0.000 0.000
0.499 0.499 0.161
0.501 0.501 0.839
0.001 0.001 0.698
0.999 0.999 0.302
```

energy relative to the lowest polymorph listed for this composition	0	meV per atom
electronic total energy	-2.507	eV per atom
magnetic moment	0.0	μB/f.u.
formation energy from the elements	-26.6	kJ/mol of atoms

(6)
A geometry-optimized BaCa3Tl structure. Source: the Alexandria database, functional GGA-PBE.

POSCAR file:
```
BaCa3Tl
1.0
-0.083 0.076 -6.135
1.413 -5.970 -0.093
-5.970 -1.414 0.063
Tl Ca Ba
1 3 1
direct
0.000 0.000 0.000
0.000 0.500 0.000
0.000 0.000 0.500
0.500 0.000 0.000
0.500 0.500 0.500
```

energy relative to the lowest polymorph listed for this composition	0	meV per atom
electronic total energy	-2.143	eV per atom
magnetic moment	0.0	μB/f.u.
formation energy from the elements	-8.1	kJ/mol of atoms

(7)
A geometry-optimized BaCaTl structure. Source: the Alexandria database, functional GGA-PBE.

POSCAR file:
```
BaCaTl
1.0
-3.183 -0.804 2.593
3.935 -0.699 1.238
0.456 7.901 3.008
Tl Ca Ba
1 1 1
direct
0.333 0.667 0.651
0.667 0.333 0.388
0.000 0.000 0.962
```

electronic total energy	-2.246	eV per atom
magnetic moment	0.0	μB/f.u.
formation energy from the elements	-14.4	kJ/mol of atoms

(8)
A geometry-optimized Ba2CaTl3 structure. Source: the Alexandria database, functional GGA-PBE.

POSCAR file:
```
Ba2CaTl3
1.0
4.067 0.000 0.000
0.000 4.067 0.000
0.000 0.000 13.004
Ba Ca Tl
2 1 3
direct
0.500 0.500 0.819
0.500 0.500 0.181
0.500 0.500 0.500
0.000 0.000 0.000
0.000 0.000 0.637
0.000 0.000 0.363
```

electronic total energy	-2.570	eV per atom
magnetic moment	0.0	μB/f.u.
formation energy from the elements	-39.8	kJ/mol of atoms